The following is a DFT calculation (PBEsol) of crystalline Zr2ScPt2 at its relaxed geometry.

Output
Energy relative to the elements: -910 meV/atom
SG: P4/mbm
N(E_F): 4.01 states/eV/f.u.

Lattice parameters (Å, degrees): 3.405 7.531 7.531 90.00 90.00 90.00
Atoms (fractional coordinates):
Zr  0.500  0.331  0.169
Zr  0.500  0.669  0.831
Zr  0.500  0.831  0.331
Zr  0.500  0.169  0.669
Pt  0.000  0.131  0.369
Pt  0.000  0.869  0.631
Pt  0.000  0.631  0.131
Pt  0.000  0.369  0.869
Sc  0.000  0.000  0.000
Sc  0.000  0.500  0.500



The following is a DFT calculation (PBEsol) of crystalline Y4CrNi at its relaxed geometry.

Output
Energy relative to the elements: 991 meV/atom
SG: F-43m
N(E_F): 7.73 states/eV/f.u.

Lattice parameters (Å, degrees): 6.002 6.002 6.002 60.00 60.00 60.00
Each line ends with the local moment (μB).
Atoms (fractional coordinates):
Cr  0.750  0.750  0.750  3.78
Y  0.876  0.375  0.375  -0.10
Y  0.375  0.375  0.375  -0.10
Y  0.375  0.876  0.375  -0.10
Y  0.375  0.375  0.876  -0.10
Ni  0.000  0.000  0.000  -0.20



The following is a DFT calculation (PBEsol) of crystalline CdP2W at its relaxed geometry.

Output
Energy relative to the elements: 489 meV/atom
Distance to the lowest polymorph of the same formula: 560.9 meV per atom
SG: Fm-3m
N(E_F): 3.54 states/eV/f.u.

Lattice parameters (Å, degrees): 4.423 4.423 4.423 60.00 60.00 60.00
Atoms (fractional coordinates):
W  0.500  0.500  0.500
Cd  0.000  0.000  0.000
P  0.750  0.750  0.750
P  0.250  0.250  0.250



> Look up the N(E_F) of the third one.

3.54 states/eV/f.u.